Record 1
A plane-wave DFT calculation with PBE-GGA was carried out for crystalline Tm2InSn3 at its relaxed geometry.

Computed properties:
Energy relative to the elements ... -218 meV per atom
DOS(E_F) ... 3.93 states/eV/f.u.

Cell: 7.5517 7.5517 6.2399 Å, 90.00 90.00 74.95°
With the nearest neighbours (Å) after each atom.
Fractional coordinates of all 12 atoms:
Tm  0.1060  0.6078  0.7500  4 Sn 3.05-3.07, 1 In 3.41
Tm  0.3922  0.8940  0.7500  4 Sn 3.05-3.07, 1 In 3.41
Tm  0.6078  0.1060  0.2500  4 Sn 3.05-3.07, 1 In 3.41
Tm  0.8940  0.3922  0.2500  4 Sn 3.05-3.07, 1 In 3.41
In  0.0716  0.9284  0.2500  5 Sn 3.18-3.47, 2 In 3.39, 2 Tm 3.41
In  0.9284  0.0716  0.7500  5 Sn 3.18-3.47, 2 In 3.39, 2 Tm 3.41
Sn  0.2529  0.2529  0.0000  4 Tm 3.05-3.07, 2 Sn 3.12
Sn  0.2529  0.2529  0.5000  4 Tm 3.05-3.07, 2 Sn 3.12
Sn  0.4182  0.5818  0.2500  1 In 3.18, 6 Sn 3.43-3.46, 2 Tm 3.51
Sn  0.5818  0.4182  0.7500  1 In 3.18, 6 Sn 3.43-3.46, 2 Tm 3.51
Sn  0.7471  0.7471  0.0000  4 Tm 3.05-3.07, 2 Sn 3.12
Sn  0.7471  0.7471  0.5000  4 Tm 3.05-3.07, 2 Sn 3.12

Record 2
A plane-wave DFT calculation with PBE-GGA was carried out for crystalline Tm7In4Sn at its relaxed geometry.

Computed properties:
Energy relative to the elements ... -159 meV per atom
DOS(E_F) ... 9.09 states/eV/f.u.

Cell: 7.6776 7.6776 11.0833 Å, 124.80 124.80 43.13°
With the nearest neighbours (Å) after each atom.
Fractional coordinates of all 12 atoms:
Tm  0.0000  0.0000  0.0000  2 Sn 2.82, 4 In 3.06-3.16
Tm  0.1560  0.1560  0.5898  5 In 3.02-3.26, 1 Tm 3.37
Tm  0.2848  0.2848  0.1314  4 In 3.14-3.30, 2 Tm 3.26-3.38
Tm  0.4287  0.4287  0.6803  1 Sn 3.03, 5 In 3.08-3.35, 2 Tm 3.26-3.37
Tm  0.5713  0.5713  0.3197  1 Sn 3.03, 5 In 3.08-3.35, 2 Tm 3.26-3.37
Tm  0.7152  0.7152  0.8686  4 In 3.14-3.30, 2 Tm 3.26-3.38
Tm  0.8440  0.8440  0.4102  5 In 3.02-3.26, 1 Tm 3.37
In  0.0649  0.0649  0.7741  8 Tm 3.02-3.30, 1 In 3.26
In  0.2072  0.2072  0.3426  8 Tm 3.06-3.35, 1 In 3.26
In  0.7928  0.7928  0.6574  8 Tm 3.06-3.35, 1 In 3.26
In  0.9351  0.9351  0.2259  8 Tm 3.02-3.30, 1 In 3.26
Sn  0.5000  0.5000  0.0000  4 Tm 2.82-3.03